The following is a PBE-GGA calculation of an optimized crystal structure of TlCoIr, from Alexandria.

Results
ΔE_f: 0.59 eV/atom

abc: 4.2296 4.2296 4.2296
angles: 60.00 60.00 60.00
Last column: nearest neighbours and their distance in Å.
Atoms (fractional coordinates):
1 Ir 0.0000 0.0000 0.0000  4 Co 2.59
2 Tl 0.5000 0.5000 0.5000  4 Co 2.59
3 Co 0.2500 0.2500 0.2500  4 Tl 2.59, 4 Ir 2.59

---

The following is a PBE-GGA calculation of an optimized crystal structure of LaNi2W, from Alexandria.

Results
ΔE_f: 0.24 eV/atom

abc: 3.1399 3.1399 6.9879
angles: 90.00 90.00 90.01
Last column: nearest neighbours and their distance in Å.
Atoms (fractional coordinates):
1 W 0.0000 0.0000 0.4190  5 Ni 2.46-2.53
2 La 0.5000 0.5000 0.7684  5 Ni 3.05-3.34, 4 La 3.14, 4 W 3.30
3 Ni 0.0000 0.0000 0.0667  1 W 2.46, 4 Ni 2.55
4 Ni 0.5000 0.5000 0.2459  4 W 2.53, 4 Ni 2.55

---

The following is a PBE-GGA calculation of an optimized crystal structure of Co2Sn2Os, from Alexandria.

Results
ΔE_f: 0.39 eV/atom

abc: 3.2399 3.2399 8.1741
angles: 78.57 78.57 90.00
Last column: nearest neighbours and their distance in Å.
Atoms (fractional coordinates):
1 Sn 0.3928 0.3928 0.2143  4 Co 2.77, 4 Os 2.84
2 Sn 0.6072 0.6072 0.7857  4 Co 2.77, 4 Os 2.84
3 Co 0.7500 0.2500 0.5000  4 Co 2.29
4 Co 0.2500 0.7500 0.5000  4 Co 2.29
5 Os 0.0000 0.0000 0.0000  8 Sn 2.84

---

The following is a PBE-GGA calculation of an optimized crystal structure of Ta2MoHPt, from Alexandria.

abc: 4.2548 4.2548 3.8233
angles: 90.00 90.00 90.00
Last column: nearest neighbours and their distance in Å.
Atoms (fractional coordinates):
1 Pt 0.5000 0.5000 0.5000  8 Ta 2.86, 4 Mo 3.01
2 Mo 0.0000 0.0000 0.5000  2 H 1.91
3 H 0.0000 0.0000 0.0000  2 Mo 1.91, 4 Ta 2.13
4 Ta 0.5000 0.0000 0.0000  2 H 2.13
5 Ta 0.0000 0.5000 0.0000  2 H 2.13

---

| no. | final energy (hartree per atom) |
| --- | --- |
| 1 | -0.2030 |
| 2 | -0.2616 |
| 3 | -0.2317 |
| 4 | -0.3323 |